Entry 1:
Compound: Nd2YAg2Pb2
Source: the Alexandria database
Functional: PBE
Structure: relaxed

Computed properties:
As for the density: 8.83 Mg/m³. The value obtained for the volume is 189.5 Å³ per cell. The formation energy is -24.8 kJ per mole of atoms. The density of states at the Fermi level comes out at 3.5 states/eV/f.u.

Unit cell a=9.3217 b=9.3217 c=9.3217 alpha=30.90 beta=30.90 gamma=30.90
Closest atoms and distances in Å follow each position.
Element x y z (fractional)
Nd 0.1357 0.1357 0.1357  3 Ag 3.00, 3 Nd 3.31
Nd 0.8643 0.8643 0.8643  3 Ag 3.00, 3 Nd 3.31
Y 0.0000 0.0000 0.0000  6 Pb 3.32, 2 Nd 3.61
Ag 0.4354 0.4354 0.4354  3 Nd 3.00, 3 Pb 3.05
Ag 0.5646 0.5646 0.5646  3 Nd 3.00, 3 Pb 3.05
Pb 0.2707 0.2707 0.2707  3 Ag 3.05, 3 Y 3.32
Pb 0.7293 0.7293 0.7293  3 Ag 3.05, 3 Y 3.32



Entry 2:
Compound: NdYAgPb
Source: the Alexandria database
Functional: PBE
Structure: relaxed

Computed properties:
As for the density: 8.30 Mg/m³. The value obtained for the volume is 109.6 Å³ per cell. The formation energy is -40.7 kJ per mole of atoms. The density of states at the Fermi level comes out at 3.3 states/eV/f.u.

Unit cell a=5.3720 b=5.3720 c=5.3720 alpha=60.00 beta=60.00 gamma=60.00
Closest atoms and distances in Å follow each position.
Element x y z (fractional)
Nd 0.0000 0.0000 0.0000  4 Ag 3.29, 4 Pb 3.29
Y 0.5000 0.5000 0.5000  4 Pb 3.29, 4 Ag 3.29
Ag 0.7500 0.7500 0.7500  4 Y 3.29, 4 Nd 3.29
Pb 0.2500 0.2500 0.2500  4 Y 3.29, 4 Nd 3.29



Entry 3:
Compound: NdZnAgPb
Source: the Alexandria database
Functional: PBE
Structure: relaxed

Computed properties:
As for the density: 9.16 Mg/m³. The value obtained for the volume is 95.1 Å³ per cell. The formation energy is -23.8 kJ per mole of atoms. The density of states at the Fermi level comes out at 1.6 states/eV/f.u.

Unit cell a=5.1239 b=5.1239 c=5.1239 alpha=60.00 beta=60.00 gamma=60.00
Closest atoms and distances in Å follow each position.
Element x y z (fractional)
Nd 0.0000 0.0000 0.0000  4 Zn 3.14, 4 Ag 3.14
Zn 0.7500 0.7500 0.7500  4 Pb 3.14, 4 Nd 3.14
Ag 0.2500 0.2500 0.2500  4 Pb 3.14, 4 Nd 3.14
Pb 0.5000 0.5000 0.5000  4 Zn 3.14, 4 Ag 3.14



Entry 4:
Compound: NdZrAgPb
Source: the Alexandria database
Functional: PBE
Structure: relaxed

Computed properties:
As for the density: 9.10 Mg/m³. The value obtained for the volume is 100.5 Å³ per cell. The formation energy is -16.6 kJ per mole of atoms. The density of states at the Fermi level comes out at 2.3 states/eV/f.u.

Unit cell a=5.2188 b=5.2188 c=5.2188 alpha=60.00 beta=60.00 gamma=60.00
Closest atoms and distances in Å follow each position.
Element x y z (fractional)
Nd 0.0000 0.0000 0.0000  4 Pb 3.20, 4 Ag 3.20
Zr 0.5000 0.5000 0.5000  4 Ag 3.20, 4 Pb 3.20
Ag 0.2500 0.2500 0.2500  4 Zr 3.20, 4 Nd 3.20
Pb 0.7500 0.7500 0.7500  4 Zr 3.20, 4 Nd 3.20



Entry 5:
Compound: NdAgPd2
Source: the Alexandria database
Functional: PBE
Structure: relaxed

Computed properties:
As for the density: 9.91 Mg/m³. Its energy above the lowest structure with this stoichiometry is 0.000 eV per atom. The value obtained for the volume is 77.9 Å³ per cell. The formation energy is -53.9 kJ per mole of atoms. The density of states at the Fermi level comes out at 1.6 states/eV/f.u.

Unit cell a=4.4187 b=4.4187 c=3.9888 alpha=90.00 beta=90.00 gamma=90.00
Closest atoms and distances in Å follow each position.
Element x y z (fractional)
Nd 0.0000 0.0000 0.0000  8 Pd 2.98, 4 Ag 3.12
Ag 0.5000 0.5000 0.0000  8 Pd 2.98, 4 Nd 3.12
Pd 0.0000 0.5000 0.5000  4 Nd 2.98, 4 Ag 2.98, 4 Pd 3.12
Pd 0.5000 0.0000 0.5000  4 Nd 2.98, 4 Ag 2.98, 4 Pd 3.12



Entry 6:
Compound: Nd6AgPd5
Source: the Alexandria database
Functional: PBE
Structure: relaxed

Computed properties:
As for the density: 8.59 Mg/m³. Its energy above the lowest structure with this stoichiometry is 0.000 eV per atom. The value obtained for the volume is 290.9 Å³ per cell. The formation energy is -62.9 kJ per mole of atoms. The density of states at the Fermi level comes out at 10.7 states/eV/f.u.

Unit cell a=8.9159 b=8.9159 c=5.1572 alpha=106.49 beta=106.49 gamma=48.29
Closest atoms and distances in Å follow each position.
Element x y z (fractional)
Nd 0.0761 0.5838 0.3300  7 Pd 3.12-3.18, 1 Ag 3.22
Nd 0.2422 0.7578 0.0000  6 Pd 3.11-3.13, 2 Ag 3.19
Nd 0.4162 0.9239 0.6700  7 Pd 3.12-3.18, 1 Ag 3.22
Nd 0.5838 0.0761 0.3300  7 Pd 3.12-3.18, 1 Ag 3.22
Nd 0.7578 0.2422 0.0000  6 Pd 3.11-3.13, 2 Ag 3.19
Nd 0.9239 0.4162 0.6700  7 Pd 3.12-3.18, 1 Ag 3.22
Ag 0.5000 0.5000 0.5000  8 Nd 3.19-3.22, 2 Pd 3.57
Pd 0.0000 0.0000 0.5000  8 Nd 3.13-3.18
Pd 0.1673 0.1673 0.1670  8 Nd 3.12-3.14
Pd 0.3395 0.3395 0.8402  8 Nd 3.11-3.18
Pd 0.6605 0.6605 0.1598  8 Nd 3.11-3.18
Pd 0.8327 0.8327 0.8330  8 Nd 3.12-3.14



Entry 7:
Compound: Nd6AgPd3
Source: the Alexandria database
Functional: PBE
Structure: relaxed

Computed properties:
As for the density: 7.69 Mg/m³. The value obtained for the volume is 558.4 Å³ per cell. The formation energy is -39.8 kJ per mole of atoms. The density of states at the Fermi level comes out at 11.0 states/eV/f.u.

Unit cell a=9.1422 b=9.1422 c=7.2781 alpha=90.00 beta=90.00 gamma=113.36
Closest atoms and distances in Å follow each position.
Element x y z (fractional)
Nd 0.0473 0.9527 0.5000  1 Ag 2.92, 4 Pd 3.02-3.15
Nd 0.0894 0.5132 0.9993  3 Pd 2.93-3.21, 1 Ag 3.11
Nd 0.2784 0.3338 0.3306  4 Pd 2.92-3.22
Nd 0.3270 0.6730 0.5898  1 Ag 3.17, 2 Nd 3.50
Nd 0.3338 0.2784 0.8306  4 Pd 2.92-3.22
Nd 0.4868 0.9106 0.9993  3 Pd 2.93-3.21, 1 Ag 3.11
Nd 0.5132 0.0894 0.4993  3 Pd 2.93-3.21, 1 Ag 3.11
Nd 0.6662 0.7216 0.3306  4 Pd 2.92-3.22
Nd 0.6730 0.3270 0.0898  1 Ag 3.17, 2 Nd 3.50
Nd 0.7216 0.6662 0.8306  4 Pd 2.92-3.22
Nd 0.9106 0.4868 0.4993  3 Pd 2.93-3.21, 1 Ag 3.11
Nd 0.9527 0.0473 0.0000  1 Ag 2.92, 4 Pd 3.02-3.15
Ag 0.1545 0.8455 0.8315  4 Nd 2.92-3.17, 2 Pd 2.94
Ag 0.8455 0.1545 0.3315  4 Nd 2.92-3.17, 2 Pd 2.94
Pd 0.0337 0.2647 0.6692  1 Ag 2.94, 6 Nd 2.94-3.22, 1 Pd 3.00
Pd 0.2647 0.0337 0.1692  1 Ag 2.94, 6 Nd 2.94-3.22, 1 Pd 3.00
Pd 0.4265 0.5735 0.0477  6 Nd 2.92-2.95
Pd 0.5735 0.4265 0.5477  6 Nd 2.92-2.95
Pd 0.7353 0.9663 0.6692  1 Ag 2.94, 6 Nd 2.94-3.22, 1 Pd 3.00
Pd 0.9663 0.7353 0.1692  1 Ag 2.94, 6 Nd 2.94-3.22, 1 Pd 3.00



Entry 8:
Compound: Nd3Ag3Pd2
Source: the Alexandria database
Functional: PBE
Structure: relaxed

Computed properties:
As for the density: 8.36 Mg/m³. The value obtained for the volume is 192.5 Å³ per cell. The formation energy is -39.5 kJ per mole of atoms. The density of states at the Fermi level comes out at 5.4 states/eV/f.u.

Unit cell a=9.0569 b=9.0569 c=5.2558 alpha=98.66 beta=98.66 gamma=26.87
Closest atoms and distances in Å follow each position.
Element x y z (fractional)
Nd 0.0000 0.0000 0.0000  8 Ag 3.09-3.37
Nd 0.1572 0.1572 0.5965  4 Pd 2.88-3.05
Nd 0.8428 0.8428 0.4035  4 Pd 2.88-3.05
Ag 0.3705 0.3705 0.8981  3 Pd 2.80-2.91, 2 Nd 3.09
Ag 0.5000 0.5000 0.5000  4 Ag 3.33-3.60, 8 Nd 3.37-3.45
Ag 0.6295 0.6295 0.1019  3 Pd 2.80-2.91, 2 Nd 3.09
Pd 0.2359 0.2359 0.1562  2 Pd 2.76, 3 Ag 2.80-2.91, 4 Nd 2.88-3.05
Pd 0.7641 0.7641 0.8438  2 Pd 2.76, 3 Ag 2.80-2.91, 4 Nd 2.88-3.05



Entry 9:
Compound: Nd4Ag3Pd
Source: the Alexandria database
Functional: PBE
Structure: relaxed

Computed properties:
As for the density: 7.84 Mg/m³. Its energy above the lowest structure with this stoichiometry is 0.000 eV per atom. The value obtained for the volume is 213.3 Å³ per cell. The formation energy is -37.0 kJ per mole of atoms. The density of states at the Fermi level comes out at 6.5 states/eV/f.u.

Unit cell a=3.9171 b=4.8681 c=11.1868 alpha=90.00 beta=90.00 gamma=90.00
Closest atoms and distances in Å follow each position.
Element x y z (fractional)
Nd 0.0000 0.0000 0.0000  2 Pd 3.07, 5 Ag 3.18-3.27
Nd 0.0000 0.5000 0.2697  3 Ag 3.11-3.16, 4 Pd 3.19
Nd 0.5000 0.0000 0.4804  1 Pd 3.01, 6 Ag 3.21-3.22
Nd 0.5000 0.5000 0.7747  7 Ag 3.12-3.21
Ag 0.0000 0.0000 0.7077  2 Ag 2.99, 7 Nd 3.21-3.27
Ag 0.0000 0.5000 0.5520  2 Ag 2.99, 7 Nd 3.16-3.22
Ag 0.5000 0.5000 0.0541  2 Pd 3.01, 7 Nd 3.11-3.18
Pd 0.5000 0.0000 0.2117  2 Ag 3.01, 7 Nd 3.01-3.19



Entry 10:
Compound: Nd2AgPd4
Source: the Alexandria database
Functional: PBE
Structure: relaxed

Computed properties:
As for the density: 8.26 Mg/m³. The value obtained for the volume is 165.3 Å³ per cell. The formation energy is -45.3 kJ per mole of atoms. The density of states at the Fermi level comes out at 2.8 states/eV/f.u.

Unit cell a=5.2487 b=5.2815 c=7.1546 alpha=70.35 beta=81.49 gamma=62.25
Closest atoms and distances in Å follow each position.
Element x y z (fractional)
Nd 0.0005 0.1477 0.2213  7 Pd 2.95-3.29, 1 Ag 3.28
Nd 0.9995 0.8523 0.7787  7 Pd 2.95-3.29, 1 Ag 3.28
Ag 0.5000 0.5000 0.5000  6 Pd 2.62-2.82
Pd 0.0000 0.5000 0.5000  2 Ag 2.62, 4 Pd 2.72-2.74
Pd 0.3177 0.1713 0.8443  3 Pd 2.69-2.79, 1 Ag 2.82, 1 Nd 2.95
Pd 0.5000 0.0000 0.5000  2 Ag 2.64, 4 Pd 2.72-2.79
Pd 0.6823 0.8287 0.1557  3 Pd 2.69-2.79, 1 Ag 2.82, 1 Nd 2.95



- Look up the formation energy of the seventh one.
  -39.8 kJ per mole of atoms



- Which formula does entry 2 have?
  NdYAgPb